Density functional theory data (PBE) for a relaxed LiRe2Sb crystal.

CIF file:
```
data_LiRe2Sb
_cell_length_a 3.070
_cell_length_b 4.531
_cell_length_c 9.858
_cell_angle_alpha 90.00
_cell_angle_beta 90.00
_cell_angle_gamma 90.00
_symmetry_space_group_name_H-M 'C m m m'
_symmetry_Int_Tables_number 65
_symmetry_space_group_name_Hall '-C 2 2'
loop_
_atom_site_label
_atom_site_type_symbol
_atom_site_fract_x
_atom_site_fract_y
_atom_site_fract_z
_atom_site_occupancy
Li1 Li 0.000 0.000 0.000 1
Re1 Re 0.000 0.500 0.235 1
Sb1 Sb 0.000 0.000 0.500 1
```

## Properties
ΔE_f (raw) = 889.4 meV/atom